1.
# TaSbMo

A relaxed TaSbMo crystal (PBE-GGA, the Alexandria database). Values from VASP.

energy above the most stable polymorph in this dataset	0.567	eV per formula unit
D(E_F)	4.4	states/eV/cell

Quantum ESPRESSO input file:
```
&SYSTEM
  ibrav = 0, nat = 6, ntyp = 3
/
ATOMIC_SPECIES
Ta 180.95 Ta.upf
Sb 121.76 Sb.upf
Mo 95.94 Mo.upf
CELL_PARAMETERS angstrom
5.792 -1.693 0.000
5.792 1.693 0.000
-1.896 0.000 5.798
ATOMIC_POSITIONS crystal
Ta 0.157 0.157 0.093
Ta 0.843 0.843 0.907
Sb 0.151 0.151 0.573
Sb 0.849 0.849 0.427
Mo 0.476 0.476 0.226
Mo 0.524 0.524 0.774
```

2.
# LiCrPb2

A relaxed LiCrPb2 crystal (PBE-GGA, the Alexandria database). Values from VASP.

ΔH_f (0 K)	147.5	meV per atom
D(E_F)	1.6	states/eV/cell

Quantum ESPRESSO input file:
```
&SYSTEM
  ibrav = 0, nat = 4, ntyp = 3
/
ATOMIC_SPECIES
Li 6.94 Li.upf
Cr 52.00 Cr.upf
Pb 207.20 Pb.upf
CELL_PARAMETERS angstrom
3.542 0.000 0.000
0.000 3.505 0.000
-0.008 0.000 7.268
ATOMIC_POSITIONS crystal
Li 0.000 0.000 0.000
Cr 0.000 0.000 0.500
Pb 0.500 0.500 0.258
Pb 0.500 0.500 0.742
```

3.
# TbInPd4

A relaxed TbInPd4 crystal (PBE-GGA, the Alexandria database). Values from VASP.

energy above the most stable polymorph in this dataset	0.108	eV per formula unit
ΔH_f (0 K)	-649.1	meV per atom
D(E_F)	2.4	states/eV/cell

Quantum ESPRESSO input file:
```
&SYSTEM
  ibrav = 0, nat = 6, ntyp = 3
/
ATOMIC_SPECIES
Tb 158.93 Tb.upf
In 114.82 In.upf
Pd 106.42 Pd.upf
CELL_PARAMETERS angstrom
4.793 -1.928 0.000
4.793 1.928 0.000
-2.305 0.000 5.851
ATOMIC_POSITIONS crystal
Tb 0.000 0.000 0.000
In 0.000 0.000 0.500
Pd 0.332 0.332 0.178
Pd 0.336 0.336 0.661
Pd 0.664 0.664 0.339
Pd 0.668 0.668 0.822
```